1.
ScAlRe2 | GGA-PBE | optimized geometry

Properties
- ΔE_f: -0.0437 eV/atom
- N(E_F): 1.02 states/eV/atom
- Symmetry: C2/m

abc: 5.2214 5.2214 4.4699
angles: 115.13 115.13 35.81
Closest atoms and distances in Å follow each position.
Sites, in units of the cell vectors:
Sc: 0.0000 0.0000 0.0000  4 Re 2.74, 4 Al 2.75
Al: 0.5000 0.5000 0.5000  4 Re 2.74, 4 Sc 2.75
Re: 0.2501 0.2501 0.7494  2 Sc 2.74, 2 Al 2.74, 4 Re 2.75-2.76
Re: 0.7499 0.7499 0.2506  2 Sc 2.74, 2 Al 2.74, 4 Re 2.75-2.76

***

2.
Y4Th3Tc2 | GGA-PBE | optimized geometry

Properties
- ΔE_f: -0.0616 eV/atom
- N(E_F): 1.27 states/eV/atom
- Symmetry: C2/m

abc: 8.6144 8.6144 8.9521
angles: 113.97 113.97 26.16
Closest atoms and distances in Å follow each position.
Sites, in units of the cell vectors:
Y: 0.1196 0.1196 0.3709  1 Tc 3.48, 6 Th 3.65-3.74, 2 Y 3.76
Y: 0.2737 0.2737 0.8559  3 Tc 2.99-3.20
Y: 0.7263 0.7263 0.1441  3 Tc 2.99-3.20
Y: 0.8804 0.8804 0.6291  1 Tc 3.48, 6 Th 3.65-3.74, 2 Y 3.76
Th: 0.4183 0.4183 0.3109  2 Tc 2.73
Th: 0.5000 0.5000 0.0000  4 Tc 2.86
Th: 0.5817 0.5817 0.6891  2 Tc 2.73
Tc: 0.0982 0.0982 0.9141  4 Th 2.73-2.86, 2 Y 2.99
Tc: 0.9018 0.9018 0.0859  4 Th 2.73-2.86, 2 Y 2.99

***

3.
Cd3SbPd7 | GGA-PBE | optimized geometry

Properties
- Uncorrected formation energy: -0.184 eV per atom
- N(E_F): 0.40 states/eV/atom
- Symmetry: C2/m

abc: 6.6642 6.6642 5.1492
angles: 107.33 107.33 91.17
Closest atoms and distances in Å follow each position.
Sites, in units of the cell vectors:
Cd: 0.0000 0.0000 0.0000  6 Pd 2.66-2.78
Cd: 0.2120 0.7880 0.5000  7 Pd 2.74-2.85
Cd: 0.7880 0.2120 0.5000  7 Pd 2.74-2.85
Sb: 0.5000 0.5000 0.0000  8 Pd 2.57-2.78
Pd: 0.0820 0.5819 0.8306  5 Pd 2.77-3.08, 1 Sb 2.78, 3 Cd 2.78-2.85
Pd: 0.2142 0.2142 0.5449  3 Cd 2.66-2.78, 1 Sb 2.70, 5 Pd 2.77-2.98
Pd: 0.4181 0.9180 0.1694  5 Pd 2.77-3.08, 1 Sb 2.78, 3 Cd 2.78-2.85
Pd: 0.5000 0.5000 0.5000  2 Sb 2.57, 2 Cd 2.74, 2 Pd 2.77
Pd: 0.5819 0.0820 0.8306  5 Pd 2.77-3.08, 1 Sb 2.78, 3 Cd 2.78-2.85
Pd: 0.7858 0.7858 0.4551  3 Cd 2.66-2.78, 1 Sb 2.70, 5 Pd 2.77-2.98
Pd: 0.9180 0.4181 0.1694  5 Pd 2.77-3.08, 1 Sb 2.78, 3 Cd 2.78-2.85

***

4.
NaReAsBr2 | GGA-PBE | optimized geometry

Properties
- Uncorrected formation energy: 0.050 eV per atom
- Energy above the lowest structure with this stoichiometry: 0.00 eV/f.u.
- N(E_F): 0.40 states/eV/atom
- Symmetry: P4/mmm

abc: 5.4481 5.4481 4.7364
angles: 90.00 90.00 90.00
Closest atoms and distances in Å follow each position.
Sites, in units of the cell vectors:
Na: 0.0000 0.0000 0.0000  8 Br 3.61, 4 As 3.85
Re: 0.5000 0.5000 0.5000  2 As 2.37
As: 0.5000 0.5000 0.0000  2 Re 2.37
Br: 0.0000 0.5000 0.5000  2 Re 2.72
Br: 0.5000 0.0000 0.5000  2 Re 2.72

***

5.
Ca3In3Cu2 | GGA-PBE | optimized geometry

Properties
- ΔE_f: -0.3235 eV/atom
- Energy above the lowest structure with this stoichiometry: 0.00 eV/f.u.
- N(E_F): 0.43 states/eV/atom
- Symmetry: P-1

abc: 4.2623 5.3814 9.1864
angles: 100.12 103.40 90.16
Closest atoms and distances in Å follow each position.
Sites, in units of the cell vectors:
Ca: 0.0000 0.0000 0.0000  8 In 3.25-3.44
Ca: 0.1579 0.5806 0.3158  4 Cu 2.89-3.19
Ca: 0.8421 0.4194 0.6842  4 Cu 2.89-3.19
In: 0.3606 0.9178 0.7214  3 Cu 2.66-2.71
In: 0.5000 0.5000 0.0000  8 Ca 3.43-3.50, 4 In 3.63-3.64
In: 0.6394 0.0822 0.2786  3 Cu 2.66-2.71
Cu: 0.2305 0.1067 0.4599  2 Cu 2.58, 3 In 2.66-2.71, 1 Ca 2.89
Cu: 0.7695 0.8933 0.5401  2 Cu 2.58, 3 In 2.66-2.71, 1 Ca 2.89

***

6.
MoPt2W | GGA-PBE | optimized geometry

Properties
- ΔE_f: -0.1451 eV/atom
- Energy above the lowest structure with this stoichiometry: 0.61 eV/f.u.
- N(E_F): 1.23 states/eV/atom
- Symmetry: I-4m2

abc: 4.8060 4.8060 4.8060
angles: 130.60 130.60 72.46
Closest atoms and distances in Å follow each position.
Sites, in units of the cell vectors:
Mo: 0.0000 0.0000 0.0000  4 W 2.79, 8 Pt 2.79-2.84
Pt: 0.5000 0.5000 0.0000  4 W 2.79, 4 Pt 2.79, 4 Mo 2.84
Pt: 0.7500 0.2500 0.5000  4 Mo 2.79, 4 Pt 2.79, 4 W 2.84
W: 0.2500 0.7500 0.5000  4 Mo 2.79, 8 Pt 2.79-2.84

***

7.
KCu4Te | GGA-PBE | optimized geometry

Properties
- Uncorrected formation energy: 0.166 eV per atom
- N(E_F): 0.40 states/eV/atom
- Symmetry: F-43m

abc: 5.3078 5.3078 5.3078
angles: 60.00 60.00 60.00
Closest atoms and distances in Å follow each position.
Sites, in units of the cell vectors:
K: 0.0000 0.0000 0.0000  12 Cu 3.11, 4 Te 3.25
Cu: 0.3744 0.3744 0.3744  6 Cu 2.64-2.67
Cu: 0.3744 0.3744 0.8768  6 Cu 2.64-2.67
Cu: 0.3744 0.8768 0.3744  6 Cu 2.64-2.67
Cu: 0.8768 0.3744 0.3744  6 Cu 2.64-2.67
Te: 0.7500 0.7500 0.7500  12 Cu 3.11, 4 K 3.25

***

8.
Cd2AsIr | GGA-PBE | optimized geometry

Properties
- ΔE_f: 0.2455 eV/atom
- N(E_F): 0.76 states/eV/atom
- Symmetry: I4/mmm

abc: 5.2549 5.2549 5.2549
angles: 134.43 134.43 66.42
Closest atoms and distances in Å follow each position.
Sites, in units of the cell vectors:
Cd: 0.2500 0.7500 0.5000  4 Cd 2.88, 4 As 3.00, 4 Ir 3.00
Cd: 0.7500 0.2500 0.5000  4 Cd 2.88, 4 As 3.00, 4 Ir 3.00
As: 0.0000 0.0000 0.0000  4 Ir 2.88, 8 Cd 3.00
Ir: 0.5000 0.5000 0.0000  4 As 2.88, 8 Cd 3.00

***

9.
Ca2TlSnN | GGA-PBE | optimized geometry

Properties
- Uncorrected formation energy: -0.440 eV per atom
- Energy above the lowest structure with this stoichiometry: 0.00 eV/f.u.
- N(E_F): 0.57 states/eV/atom
- Symmetry: P4/mmm

abc: 4.8898 4.8898 4.8228
angles: 90.00 90.00 90.00
Closest atoms and distances in Å follow each position.
Sites, in units of the cell vectors:
Ca: 0.0000 0.5000 0.0000  2 N 2.44
Ca: 0.5000 0.0000 0.0000  2 N 2.44
Tl: 0.0000 0.0000 0.5000  8 Ca 3.43, 4 Sn 3.46
Sn: 0.5000 0.5000 0.5000  2 N 2.41
N: 0.5000 0.5000 0.0000  2 Sn 2.41, 4 Ca 2.44

***

10.
Sm2AlIn3 | GGA-PBE | optimized geometry

Properties
- ΔE_f: -0.4404 eV/atom
- Energy above the lowest structure with this stoichiometry: 0.05 eV/f.u.
- N(E_F): 0.56 states/eV/atom
- Symmetry: Fmmm

abc: 9.7064 9.2001 6.1108
angles: 75.70 66.70 37.59
Closest atoms and distances in Å follow each position.
Sites, in units of the cell vectors:
Sm: 0.2482 0.7518 0.7518  10 In 3.34-3.41, 2 Al 3.37, 1 Sm 3.70
Sm: 0.2500 0.2500 0.2500  8 In 3.34, 4 Al 3.36, 2 Sm 3.73
Sm: 0.7500 0.7500 0.7500  8 In 3.34, 4 Al 3.36, 2 Sm 3.73
Sm: 0.7518 0.2482 0.2482  10 In 3.34-3.41, 2 Al 3.37, 1 Sm 3.70
Al: 0.3333 0.3333 0.6667  3 In 2.73-2.74
Al: 0.6667 0.6667 0.3333  3 In 2.73-2.74
In: 0.1702 0.1702 0.8298  1 Al 2.74, 2 In 2.86
In: 0.1707 0.6588 0.3412  1 Al 2.73, 2 In 2.86-2.87
In: 0.3412 0.8293 0.1707  1 Al 2.73, 2 In 2.86-2.87
In: 0.6588 0.1707 0.8293  1 Al 2.73, 2 In 2.86-2.87
In: 0.8293 0.3412 0.6588  1 Al 2.73, 2 In 2.86-2.87
In: 0.8298 0.8298 0.1702  1 Al 2.74, 2 In 2.86

***

11.
Al2SiBr | GGA-PBE | optimized geometry

Properties
- Uncorrected formation energy: 0.303 eV per atom
- Energy above the lowest structure with this stoichiometry: 1.36 eV/f.u.
- N(E_F): 0.33 states/eV/atom
- Symmetry: Immm

abc: 6.2307 6.2307 6.2307
angles: 151.72 134.89 54.10
Closest atoms and distances in Å follow each position.
Sites, in units of the cell vectors:
Al: 0.2069 0.2069 0.0000  2 Si 2.76, 6 Al 2.99-3.04
Al: 0.7931 0.7931 0.0000  2 Si 2.76, 6 Al 2.99-3.04
Si: 0.0000 0.5000 0.5000  4 Al 2.76, 4 Br 2.83, 2 Si 3.04
Br: 0.5000 0.0000 0.5000  4 Si 2.83, 2 Br 3.04

***

12.
Hf2ScW | GGA-PBE | optimized geometry

Properties
- ΔE_f: 0.6634 eV/atom
- Energy above the lowest structure with this stoichiometry: 2.19 eV/f.u.
- N(E_F): 0.86 states/eV/atom
- Symmetry: I-42d

abc: 6.1863 6.1863 6.1863
angles: 103.07 103.07 123.21
Closest atoms and distances in Å follow each position.
Sites, in units of the cell vectors:
Hf: 0.0973 0.6250 0.9723  2 W 2.68, 2 Sc 2.97, 2 Hf 2.97
Hf: 0.3750 0.3473 0.4723  2 W 2.68, 2 Sc 2.97, 2 Hf 2.97
Hf: 0.6527 0.1250 0.0277  2 W 2.68, 2 Sc 2.97, 2 Hf 2.97
Hf: 0.8750 0.9027 0.5277  2 W 2.68, 2 Sc 2.97, 2 Hf 2.97
Sc: 0.2500 0.7500 0.5000  2 W 2.94, 4 Hf 2.97
Sc: 0.5000 0.5000 0.0000  2 W 2.94, 4 Hf 2.97
W: 0.0000 0.0000 0.0000  4 Hf 2.68, 2 Sc 2.94
W: 0.7500 0.2500 0.5000  4 Hf 2.68, 2 Sc 2.94

***

Repeat the third record exactly.
Cd3SbPd7 | GGA-PBE | optimized geometry

Properties
- Uncorrected formation energy: -0.184 eV per atom
- N(E_F): 0.40 states/eV/atom
- Symmetry: C2/m

abc: 6.6642 6.6642 5.1492
angles: 107.33 107.33 91.17
Closest atoms and distances in Å follow each position.
Sites, in units of the cell vectors:
Cd: 0.0000 0.0000 0.0000  6 Pd 2.66-2.78
Cd: 0.2120 0.7880 0.5000  7 Pd 2.74-2.85
Cd: 0.7880 0.2120 0.5000  7 Pd 2.74-2.85
Sb: 0.5000 0.5000 0.0000  8 Pd 2.57-2.78
Pd: 0.0820 0.5819 0.8306  5 Pd 2.77-3.08, 1 Sb 2.78, 3 Cd 2.78-2.85
Pd: 0.2142 0.2142 0.5449  3 Cd 2.66-2.78, 1 Sb 2.70, 5 Pd 2.77-2.98
Pd: 0.4181 0.9180 0.1694  5 Pd 2.77-3.08, 1 Sb 2.78, 3 Cd 2.78-2.85
Pd: 0.5000 0.5000 0.5000  2 Sb 2.57, 2 Cd 2.74, 2 Pd 2.77
Pd: 0.5819 0.0820 0.8306  5 Pd 2.77-3.08, 1 Sb 2.78, 3 Cd 2.78-2.85
Pd: 0.7858 0.7858 0.4551  3 Cd 2.66-2.78, 1 Sb 2.70, 5 Pd 2.77-2.98
Pd: 0.9180 0.4181 0.1694  5 Pd 2.77-3.08, 1 Sb 2.78, 3 Cd 2.78-2.85